# 1
CaNi2Ru | PBE-GGA | optimized geometry

The structure in extended XYZ format:
```
4
Lattice="4.616 0.000 0.000 0.000 4.616 0.000 0.000 0.000 2.743" Properties=species:S:1:pos:R:3 pbc="T T T"
Ca 0.000 0.000 0.000
Ni 0.000 2.308 1.372
Ni 2.308 0.000 1.372
Ru 2.308 2.308 0.000
```

Output
* DFT total energy: -5.456 eV/atom
* excess energy over the best structure of this formula in the dataset: 77.0 meV/atom
* formation energy from the elements: 0.25 eV/atom

---

# 2
CaNiRu2 | PBE-GGA | optimized geometry

The structure in extended XYZ format:
```
4
Lattice="4.390 -1.427 0.000 4.390 1.427 0.000 -0.834 0.000 5.350" Properties=species:S:1:pos:R:3 pbc="T T T"
Ca 0.000 0.000 0.000
Ni 1.519 0.000 3.846
Ru 4.027 0.000 2.675
Ru 6.437 0.000 1.885
```

Output
* DFT total energy: -6.274 eV/atom
* excess energy over the best structure of this formula in the dataset: 61.3 meV/atom
* formation energy from the elements: 0.31 eV/atom

---

# 3
CaNi2Ru | PBE-GGA | optimized geometry

The structure in extended XYZ format:
```
4
Lattice="2.928 0.000 0.000 0.000 2.928 0.000 0.000 0.000 7.157" Properties=species:S:1:pos:R:3 pbc="T T T"
Ca 0.000 0.000 0.000
Ni 0.000 0.000 3.424
Ni 1.464 1.464 2.128
Ru 1.464 1.464 4.850
```

Output
* DFT total energy: -5.438 eV/atom
* excess energy over the best structure of this formula in the dataset: 94.7 meV/atom
* formation energy from the elements: 0.27 eV/atom

---

# 4
CaNiRu3 | PBE-GGA | optimized geometry

The structure in extended XYZ format:
```
5
Lattice="4.564 0.000 0.000 0.000 4.564 0.000 0.000 0.000 4.564" Properties=species:S:1:pos:R:3 pbc="T T T"
Ca 0.000 0.000 0.000
Ni 2.282 2.282 2.282
Ru 0.000 2.282 2.282
Ru 2.282 0.000 2.282
Ru 2.282 2.282 0.000
```

Output
* DFT total energy: -6.120 eV/atom
* excess energy over the best structure of this formula in the dataset: 0.0 meV/atom
* formation energy from the elements: 1.00 eV/atom

---

# 5
CaNi2Ru2 | PBE-GGA | optimized geometry

The structure in extended XYZ format:
```
10
Lattice="7.490 0.000 0.000 0.000 7.490 0.000 0.000 0.000 2.678" Properties=species:S:1:pos:R:3 pbc="T T T"
Ca 0.000 0.000 0.000
Ca 3.745 3.745 0.000
Ni 1.331 2.414 1.339
Ni 2.414 6.160 1.339
Ni 5.076 1.331 1.339
Ni 6.160 5.076 1.339
Ru 0.888 4.634 0.000
Ru 2.857 0.888 0.000
Ru 4.634 6.602 0.000
Ru 6.602 2.857 0.000
```

Output
* DFT total energy: -6.217 eV/atom
* excess energy over the best structure of this formula in the dataset: 0.0 meV/atom
* formation energy from the elements: 0.21 eV/atom

---

# 6
CaNiRu2 | PBE-GGA | optimized geometry

The structure in extended XYZ format:
```
4
Lattice="-1.455 2.333 4.698 1.455 -2.333 4.698 1.455 2.333 -4.698" Properties=species:S:1:pos:R:3 pbc="T T T"
Ca 0.000 0.000 0.000
Ni 1.455 0.000 2.534
Ru 0.000 0.000 4.643
Ru 0.000 2.333 2.075
```

Output
* DFT total energy: -6.143 eV/atom
* excess energy over the best structure of this formula in the dataset: 192.0 meV/atom
* formation energy from the elements: 0.44 eV/atom

---

# 7
CaNiRu2 | PBE-GGA | optimized geometry

The structure in extended XYZ format:
```
8
Lattice="-2.007 2.007 9.300 2.007 -2.007 9.300 2.007 2.007 -9.300" Properties=species:S:1:pos:R:3 pbc="T T T"
Ca 0.000 0.000 0.000
Ca 0.000 2.007 4.650
Ni 2.007 0.000 4.650
Ni 0.000 0.000 9.300
Ru 1.004 1.408 -2.325
Ru 2.607 1.004 2.325
Ru 1.004 0.600 6.975
Ru -0.600 1.004 11.626
```

Output
* DFT total energy: -5.986 eV/atom
* excess energy over the best structure of this formula in the dataset: 349.3 meV/atom
* formation energy from the elements: 0.60 eV/atom

---

# 8
CaNi2Ru | PBE-GGA | optimized geometry

The structure in extended XYZ format:
```
4
Lattice="4.788 -1.355 0.000 4.788 1.355 0.000 -1.379 0.000 4.571" Properties=species:S:1:pos:R:3 pbc="T T T"
Ca 0.000 0.000 0.000
Ni 3.907 0.000 2.296
Ni 7.064 0.000 0.917
Ru 1.236 0.000 2.852
```

Output
* DFT total energy: -5.472 eV/atom
* excess energy over the best structure of this formula in the dataset: 61.5 meV/atom
* formation energy from the elements: 0.24 eV/atom